Record 1
{
  "formula": "Ac3NpO8",
  "functional": "PBE-GGA",
  "state": "relaxed",
  "magnetic_moment_mub_per_cell": 0.0,
  "density_g_cm3": 9.3,
  "sg": "I4/mmm (139)",
  "total_energy_ev_per_fu": -102.13,
  "cell": [[5.2263, 0.0000, -2.3380], [-1.0459, 5.1206, -2.3380], [-0.0204, -0.0249, 6.9649]],
  "species": ["Ac", "Ac", "Ac", "O", "O", "O", "O", "Np", "O", "O", "O", "O"],
  "frac_coords": [[0.7500, 0.2500, 0.5000], [0.5000, 0.5000, 0.0000], [0.2500, 0.7500, 0.5000], [0.3373, 0.8892, 0.2264], [0.6627, 0.6627, 0.7736], [0.8892, 0.3373, 0.2264], [0.3373, 0.3373, 0.2264], [0.0000, 0.0000, 0.0000], [0.1108, 0.6627, 0.7736], [0.6627, 0.1108, 0.7736], [0.1108, 0.1108, 0.7736], [0.8892, 0.8892, 0.2264]]
}

---

Record 2
{
  "formula": "LiSnMoOs",
  "functional": "PBE-GGA",
  "state": "relaxed",
  "magnetic_moment_mub_per_cell": 0.0,
  "e_form_mev_per_atom": -16,
  "density_g_cm3": 11.0,
  "sg": "F-43m (216)",
  "dos_at_fermi_per_ev_cell": 2.8,
  "total_energy_ev_per_fu": -28.04,
  "cell": [[4.4427, 0.0000, 0.0000], [2.2214, 3.8475, 0.0000], [2.2214, 1.2825, 3.6275]],
  "species": ["Mo", "Li", "Sn", "Os"],
  "frac_coords": [[0.7500, 0.7500, 0.7500], [0.0000, 0.0000, 0.0000], [0.2500, 0.2500, 0.2500], [0.5000, 0.5000, 0.5000]]
}

---

Please write out number 2 again, unchanged.
{
  "formula": "LiSnMoOs",
  "functional": "PBE-GGA",
  "state": "relaxed",
  "magnetic_moment_mub_per_cell": 0.0,
  "e_form_mev_per_atom": -16,
  "density_g_cm3": 11.0,
  "sg": "F-43m (216)",
  "dos_at_fermi_per_ev_cell": 2.8,
  "total_energy_ev_per_fu": -28.04,
  "cell": [[4.4427, 0.0000, 0.0000], [2.2214, 3.8475, 0.0000], [2.2214, 1.2825, 3.6275]],
  "species": ["Mo", "Li", "Sn", "Os"],
  "frac_coords": [[0.7500, 0.7500, 0.7500], [0.0000, 0.0000, 0.0000], [0.2500, 0.2500, 0.2500], [0.5000, 0.5000, 0.5000]]
}